# 1
Here is a relaxed structure of NaAlCd2F8 from the Alexandria database. Energies are from GGA-PBE.

Calculated values
Raw total energy = -54.81 eV for the cell shown
Crystal system = monoclinic
DOS at the Fermi energy = 0.00 states/eV/f.u.

a = 4.9510 Å, b = 6.8532 Å, c = 4.9607 Å
α = 90.00°, β = 90.24°, γ = 90.00°
Space group P2/m (No. 10)
Inequivalent atoms, fractional coordinates:
Na  0.0000  0.0000  0.0000 [1 per cell]
Al  0.0000  0.5000  0.0000 [1 per cell]
Cd  0.5000  0.2549  0.5000 [2 per cell]
F  0.1804  0.3067  0.1778 [4 per cell]
F  0.2680  0.5000  0.7294 [2 per cell]
F  0.3061  0.0000  0.6911 [2 per cell]

***

# 2
Here is a relaxed structure of PaCdIO6 from the Alexandria database. Energies are from GGA-PBE.

Calculated values
Raw total energy = -112.73 eV for the cell shown
Crystal system = trigonal
DOS at the Fermi energy = 0.00 states/eV/f.u.

a = 5.7550 Å, b = 5.7550 Å, c = 9.4964 Å
α = 90.00°, β = 90.00°, γ = 120.00°
Space group P-31c (No. 163)
Inequivalent atoms, fractional coordinates:
Pa  0.3333  0.6667  0.2500 [2 per cell]
Cd  0.0000  0.0000  0.0000 [2 per cell]
I  0.3333  0.6667  0.7500 [2 per cell]
O  0.0101  0.3582  0.6356 [12 per cell]